(1)
BaGd2Ni: optimized geometry, GGA-PBE.

Cell and atoms, written as CIF:
```
data_BaGd2Ni
_symmetry_space_group_name_H-M 'P 1'
_symmetry_Int_Tables_number 1
_symmetry_space_group_name_Hall 'P 1'
_cell_length_a 10.878
_cell_length_b 10.878
_cell_length_c 10.878
_cell_angle_alpha 20.99
_cell_angle_beta 20.99
_cell_angle_gamma 20.99
loop_
_atom_site_label
_atom_site_type_symbol
_atom_site_fract_x
_atom_site_fract_y
_atom_site_fract_z
Ba1 Ba 0.000 0.000 0.000
Gd1 Gd 0.120 0.120 0.120
Gd2 Gd 0.880 0.880 0.880
Ni1 Ni 0.500 0.500 0.500
```

## Properties
For the total energy, the calculation gives -35.8 eV/cell. The symmetry is R-3m. The magnetic moment is 3.6078 μB per atom.

(2)
BaGd3Ni: optimized geometry, GGA-PBE.

Cell and atoms, written as CIF:
```
data_BaGd3Ni
_symmetry_space_group_name_H-M 'P 1'
_symmetry_Int_Tables_number 1
_symmetry_space_group_name_Hall 'P 1'
_cell_length_a 5.521
_cell_length_b 5.521
_cell_length_c 5.521
_cell_angle_alpha 90.00
_cell_angle_beta 90.00
_cell_angle_gamma 90.00
loop_
_atom_site_label
_atom_site_type_symbol
_atom_site_fract_x
_atom_site_fract_y
_atom_site_fract_z
Ba1 Ba 0.000 0.000 0.000
Gd1 Gd 0.000 0.500 0.500
Gd2 Gd 0.500 0.000 0.500
Gd3 Gd 0.500 0.500 0.000
Ni1 Ni 0.500 0.500 0.500
```

## Properties
For the total energy, the calculation gives -50.1 eV/cell. The symmetry is Pm-3m. The magnetic moment is 4.5644 μB per atom.

(3)
BaGdO2: optimized geometry, GGA-PBE.

Cell and atoms, written as CIF:
```
data_BaGdO2
_symmetry_space_group_name_H-M 'P 1'
_symmetry_Int_Tables_number 1
_symmetry_space_group_name_Hall 'P 1'
_cell_length_a 6.663
_cell_length_b 6.663
_cell_length_c 6.663
_cell_angle_alpha 31.44
_cell_angle_beta 31.44
_cell_angle_gamma 31.44
loop_
_atom_site_label
_atom_site_type_symbol
_atom_site_fract_x
_atom_site_fract_y
_atom_site_fract_z
Ba1 Ba 0.000 0.000 0.000
Gd1 Gd 0.500 0.500 0.500
O1 O 0.229 0.229 0.229
O2 O 0.771 0.771 0.771
```

## Properties
For the total energy, the calculation gives -36.8 eV/cell. The symmetry is R-3m. The formation energy (no corrections) comes out at -10.84 eV/f.u. The magnetic moment is 1.7119 μB per atom.

(4)
BaGd2PtO5: optimized geometry, GGA-PBE.

Cell and atoms, written as CIF:
```
data_BaGd2PtO5
_symmetry_space_group_name_H-M 'P 1'
_symmetry_Int_Tables_number 1
_symmetry_space_group_name_Hall 'P 1'
_cell_length_a 6.687
_cell_length_b 6.687
_cell_length_c 5.962
_cell_angle_alpha 90.00
_cell_angle_beta 90.00
_cell_angle_gamma 90.00
loop_
_atom_site_label
_atom_site_type_symbol
_atom_site_fract_x
_atom_site_fract_y
_atom_site_fract_z
Ba1 Ba 0.000 0.000 0.000
Ba2 Ba 0.500 0.500 0.000
Gd1 Gd 0.175 0.325 0.500
Gd2 Gd 0.325 0.825 0.500
Gd3 Gd 0.675 0.175 0.500
Gd4 Gd 0.825 0.675 0.500
Pt1 Pt 0.000 0.500 0.000
Pt2 Pt 0.500 0.000 0.000
O1 O 0.000 0.000 0.500
O2 O 0.140 0.640 0.258
O3 O 0.140 0.640 0.742
O4 O 0.360 0.140 0.258
O5 O 0.360 0.140 0.742
O6 O 0.500 0.500 0.500
O7 O 0.640 0.860 0.258
O8 O 0.640 0.860 0.742
O9 O 0.860 0.360 0.258
O10 O 0.860 0.360 0.742
```

## Properties
For the total energy, the calculation gives -169.1 eV/cell. The symmetry is P4/mbm. The formation energy (no corrections) comes out at -23.62 eV/f.u. The magnetic moment is 1.5501 μB per atom.

(5)
BaSrGdSbO6: optimized geometry, GGA-PBE.

Cell and atoms, written as CIF:
```
data_BaSrGdSbO6
_symmetry_space_group_name_H-M 'P 1'
_symmetry_Int_Tables_number 1
_symmetry_space_group_name_Hall 'P 1'
_cell_length_a 6.023
_cell_length_b 6.023
_cell_length_c 6.023
_cell_angle_alpha 60.00
_cell_angle_beta 60.00
_cell_angle_gamma 60.00
loop_
_atom_site_label
_atom_site_type_symbol
_atom_site_fract_x
_atom_site_fract_y
_atom_site_fract_z
Ba1 Ba 0.000 0.000 0.000
Sr1 Sr 0.500 0.500 0.500
Gd1 Gd 0.750 0.750 0.750
Sb1 Sb 0.250 0.250 0.250
O1 O 0.014 0.014 0.486
O2 O 0.014 0.486 0.014
O3 O 0.014 0.486 0.486
O4 O 0.486 0.014 0.014
O5 O 0.486 0.014 0.486
O6 O 0.486 0.486 0.014
```

## Properties
For the total energy, the calculation gives -77.7 eV/cell. The symmetry is F-43m. The formation energy (no corrections) comes out at -26.14 eV/f.u. The magnetic moment is 0.6979 μB per atom. Its energy above the most stable polymorph in this dataset is 0.021 eV/atom.

(6)
BaSrGdSbO6: optimized geometry, GGA-PBE.

Cell and atoms, written as CIF:
```
data_BaSrGdSbO6
_symmetry_space_group_name_H-M 'P 1'
_symmetry_Int_Tables_number 1
_symmetry_space_group_name_Hall 'P 1'
_cell_length_a 6.003
_cell_length_b 6.004
_cell_length_c 8.479
_cell_angle_alpha 89.78
_cell_angle_beta 89.78
_cell_angle_gamma 89.82
loop_
_atom_site_label
_atom_site_type_symbol
_atom_site_fract_x
_atom_site_fract_y
_atom_site_fract_z
Ba1 Ba 0.013 0.005 0.250
Ba2 Ba 0.987 0.995 0.750
Sr1 Sr 0.479 0.502 0.751
Sr2 Sr 0.521 0.498 0.249
Gd1 Gd 0.000 0.500 0.500
Gd2 Gd 0.500 0.000 0.000
Sb1 Sb 0.000 0.500 0.000
Sb2 Sb 0.500 0.000 0.500
O1 O 0.038 0.452 0.766
O2 O 0.212 0.759 0.983
O3 O 0.244 0.785 0.522
O4 O 0.265 0.297 0.041
O5 O 0.290 0.259 0.457
O6 O 0.486 0.068 0.734
O7 O 0.514 0.932 0.266
O8 O 0.710 0.741 0.543
O9 O 0.735 0.703 0.959
O10 O 0.756 0.215 0.478
O11 O 0.788 0.241 0.017
O12 O 0.962 0.548 0.234
```

## Properties
For the total energy, the calculation gives -155.8 eV/cell. The symmetry is P-1. The formation energy (no corrections) comes out at -26.34 eV/f.u. The magnetic moment is 0.6944 μB per atom. Its energy above the most stable polymorph in this dataset is 0.000 eV/atom.